Crystalline NaCo3I at its relaxed geometry, computed with PBE-GGA.

- spin magnetization (μB/atom) = 1.00
- ΔE to the lowest computed polymorph (kJ/mol of atoms) = 65.6
- formation energy without anion corrections (eV per atom) = 1.859

Cell and atoms, written as extended XYZ:
```
5
Lattice="-1.789 1.522 3.977 3.925 -1.083 2.180 1.651 4.224 -0.874" Properties=species:S:1:pos:R:3 pbc="T T T"
Co -0.894 0.761 1.989
Co 0.826 2.112 -0.437
Co 1.963 -0.541 1.090
I 1.894 2.332 2.641
Na 0.000 0.000 0.000
```